## Pu2AsPd6 (PBE)

Data for crystalline Pu2AsPd6 at its relaxed geometry.

Values from the calculation:
ΔE_f	-0.52	eV per atom
excess energy over the best structure of this formula in the dataset	0	kJ/mol of formula units
density	11.982	g/cm³
calculated volume	18.5	Å³/atom

a = 5.8477 Å, b = 5.7340 Å, c = 5.7340 Å
α = 60.00°, β = 90.00°, γ = 90.00°
With the nearest neighbours (Å) after each atom.
Element x y z (fractional)
1 Pd 0.6885 0.6522 0.1739  1 As 2.51, 4 Pd 2.74-2.80
2 Pd 0.3115 0.3478 0.8261  1 As 2.51, 4 Pd 2.74-2.80
3 Pd 0.3115 0.8261 0.3478  1 As 2.51, 4 Pd 2.74-2.80
4 Pd 0.6885 0.1739 0.6522  1 As 2.51, 4 Pd 2.74-2.80
5 Pd 0.6885 0.1739 0.1739  1 As 2.51, 4 Pd 2.74-2.80
6 Pd 0.3115 0.8261 0.8261  1 As 2.51, 4 Pd 2.74-2.80
7 Pu 0.1685 0.3333 0.3333  9 Pd 2.99-3.22
8 Pu 0.8315 0.6667 0.6667  9 Pd 2.99-3.22
9 As 0.0000 0.0000 0.0000  6 Pd 2.51

---

## Pu2As2Pd (PBE)

Data for crystalline Pu2As2Pd at its relaxed geometry.

Values from the calculation:
ΔE_f	-0.79	eV per atom
density	10.701	g/cm³
calculated volume	23.1	Å³/atom

a = 7.3687 Å, b = 7.3902 Å, c = 8.4834 Å
α = 90.00°, β = 90.01°, γ = 90.00°
With the nearest neighbours (Å) after each atom.
Element x y z (fractional)
1 As 0.7500 0.9168 0.1139  1 Pd 2.54
2 As 0.7501 0.9257 0.6412  2 Pd 2.53-2.54
3 As 0.2499 0.0743 0.3588  2 Pd 2.53-2.54
4 As 0.2500 0.0832 0.8861  1 Pd 2.54
5 As 0.7500 0.4168 0.8861  1 Pd 2.54
6 As 0.2501 0.5743 0.6412  2 Pd 2.53-2.54
7 As 0.7499 0.4257 0.3588  2 Pd 2.53-2.54
8 As 0.2500 0.5832 0.1139  1 Pd 2.54
9 Pu 0.0000 0.7500 0.8833  6 As 2.96-3.08, 2 Pd 3.12
10 Pu 0.0000 0.2500 0.1167  6 As 2.96-3.08, 2 Pd 3.12
11 Pu 0.5000 0.7500 0.8833  6 As 2.96-3.08, 2 Pd 3.12
12 Pu 0.5000 0.7501 0.3678  6 As 3.02-3.23, 4 Pd 3.08-3.10
13 Pu 0.0000 0.2501 0.6322  6 As 3.02-3.23, 4 Pd 3.08-3.10
14 Pu 0.5000 0.2499 0.6322  6 As 3.02-3.23, 4 Pd 3.08-3.10
15 Pu 0.5000 0.2500 0.1167  6 As 2.96-3.08, 2 Pd 3.12
16 Pu 0.0000 0.7499 0.3678  6 As 3.02-3.23, 4 Pd 3.08-3.10
17 Pd 0.7501 0.0837 0.3757  3 As 2.53-2.54
18 Pd 0.2499 0.9163 0.6243  3 As 2.53-2.54
19 Pd 0.2501 0.4163 0.3757  3 As 2.53-2.54
20 Pd 0.7499 0.5837 0.6243  3 As 2.53-2.54

---

## Pu4As6Pd5 (PBE)

Data for crystalline Pu4As6Pd5 at its relaxed geometry.

Values from the calculation:
ΔE_f	-0.73	eV per atom
density	10.807	g/cm³
calculated volume	20.1	Å³/atom

a = 4.1762 Å, b = 9.8907 Å, c = 14.9004 Å
α = 90.00°, β = 90.00°, γ = 102.19°
With the nearest neighbours (Å) after each atom.
Element x y z (fractional)
1 Pd 0.8476 0.6953 0.1294  4 As 2.53-2.59
2 Pd 0.3542 0.7084 0.9845  4 As 2.51-2.58
3 Pd 0.6963 0.3926 0.1190  4 As 2.51-2.61
4 Pd 0.6458 0.2916 0.4845  4 As 2.51-2.58
5 Pd 0.5543 0.1086 0.1745  4 As 2.55-2.68
6 Pd 0.3037 0.6074 0.6190  4 As 2.51-2.61
7 Pd 0.4457 0.8914 0.6745  4 As 2.55-2.68
8 Pd 0.3423 0.6846 0.2700  4 As 2.56-2.65
9 Pd 0.1524 0.3047 0.6294  4 As 2.53-2.59
10 Pd 0.6577 0.3154 0.7700  4 As 2.56-2.65
11 As 0.5730 0.1460 0.6300  5 Pd 2.55-2.65
12 As 0.4365 0.8730 0.8541  2 Pd 2.51-2.68
13 As 0.4203 0.8407 0.4090  1 Pd 2.56
14 As 0.4270 0.8540 0.1300  5 Pd 2.55-2.65
15 As 0.5635 0.1270 0.3541  2 Pd 2.51-2.68
16 As 0.7776 0.5551 0.9858  4 Pd 2.53-2.56
17 As 0.1154 0.2309 0.1165  4 Pd 2.55-2.61
18 As 0.2224 0.4449 0.4858  4 Pd 2.53-2.56
19 As 0.5797 0.1593 0.9090  1 Pd 2.56
20 As 0.2356 0.4712 0.7625  4 Pd 2.51-2.58
21 As 0.7644 0.5288 0.2625  4 Pd 2.51-2.58
22 As 0.8846 0.7691 0.6165  4 Pd 2.55-2.61
23 Pu 0.9671 0.9342 0.2740  6 As 3.04-3.09, 5 Pd 3.07-3.19
24 Pu 0.1812 0.3624 0.9426  6 As 2.87-2.91
25 Pu 0.8361 0.6722 0.8024  6 As 2.91-2.96
26 Pu 0.0118 0.0235 0.5013  7 As 3.00-3.19, 3 Pd 3.32-3.34
27 Pu 0.1639 0.3278 0.3024  6 As 2.91-2.96
28 Pu 0.9882 0.9765 0.0013  7 As 3.00-3.19, 3 Pd 3.32-3.34
29 Pu 0.0329 0.0658 0.7740  6 As 3.04-3.09, 5 Pd 3.07-3.19
30 Pu 0.8188 0.6376 0.4426  6 As 2.87-2.91

---

## Pu2AsPd (PBE)

Data for crystalline Pu2AsPd at its relaxed geometry.

Values from the calculation:
ΔE_f	-0.57	eV per atom
excess energy over the best structure of this formula in the dataset	34	kJ/mol of formula units
density	11.056	g/cm³
calculated volume	25.1	Å³/atom

a = 4.0355 Å, b = 4.0355 Å, c = 7.4992 Å
α = 74.39°, β = 74.39°, γ = 60.00°
With the nearest neighbours (Å) after each atom.
Element x y z (fractional)
1 Pd 0.5000 0.5000 0.5000  6 Pu 2.94
2 Pu 0.2506 0.2506 0.2482  3 As 2.93, 3 Pd 2.94
3 Pu 0.7494 0.7494 0.7518  3 As 2.93, 3 Pd 2.94
4 As 0.0000 0.0000 0.0000  6 Pu 2.93

---

## PuAs2Pd3 (PBE)

Data for crystalline PuAs2Pd3 at its relaxed geometry.

Values from the calculation:
ΔE_f	-0.64	eV per atom
excess energy over the best structure of this formula in the dataset	0	kJ/mol of formula units
density	10.784	g/cm³
calculated volume	18.3	Å³/atom

a = 4.0732 Å, b = 8.6584 Å, c = 10.1022 Å
α = 107.43°, β = 90.00°, γ = 103.60°
With the nearest neighbours (Å) after each atom.
Element x y z (fractional)
1 As 0.4573 0.9147 0.2120  4 Pd 2.50-2.77
2 As 0.5427 0.0853 0.7880  4 Pd 2.50-2.77
3 As 0.3637 0.7275 0.5401  7 Pd 2.44-2.67
4 As 0.8006 0.6012 0.8654  6 Pd 2.54-2.62
5 As 0.1994 0.3988 0.1346  6 Pd 2.54-2.62
6 As 0.6363 0.2725 0.4599  7 Pd 2.44-2.67
7 Pu 0.8438 0.6876 0.2984  6 As 3.10-3.21, 7 Pd 3.23-3.45
8 Pu 0.0000 0.0000 0.0000  6 Pd 3.17-3.20, 6 As 3.19-3.21
9 Pu 0.1562 0.3124 0.7016  6 As 3.10-3.21, 7 Pd 3.23-3.45
10 Pd 0.0410 0.0820 0.3306  4 As 2.55-2.67, 1 Pd 2.85
11 Pd 0.3179 0.6359 0.0284  4 As 2.50-2.58
12 Pd 0.2184 0.4367 0.3942  4 As 2.44-2.66
13 Pd 0.6227 0.2454 0.2039  4 As 2.53-2.81, 1 Pd 2.82
14 Pd 0.7816 0.5633 0.6058  4 As 2.44-2.66
15 Pd 0.6821 0.3641 0.9716  4 As 2.50-2.58
16 Pd 0.5000 0.0000 0.5000  2 As 2.45
17 Pd 0.9590 0.9180 0.6694  4 As 2.55-2.67, 1 Pd 2.85
18 Pd 0.3773 0.7546 0.7961  4 As 2.53-2.81, 1 Pd 2.82

---

## PuAsPd (PBE)

Data for crystalline PuAsPd at its relaxed geometry.

Values from the calculation:
ΔE_f	0.03	eV per atom
density	9.749	g/cm³
calculated volume	24.1	Å³/atom

a = 3.2761 Å, b = 3.2761 Å, c = 7.1366 Å
α = 103.27°, β = 103.27°, γ = 90.00°
With the nearest neighbours (Å) after each atom.
Element x y z (fractional)
1 Pd 0.1608 0.1608 0.3216  4 As 2.53, 1 Pu 2.80
2 Pu 0.9531 0.9531 0.9061  1 Pd 2.80, 1 As 2.93
3 As 0.7361 0.7361 0.4723  4 Pd 2.53

---

## Pu2AsPd (PBE)

Data for crystalline Pu2AsPd at its relaxed geometry.

Values from the calculation:
ΔE_f	-0.66	eV per atom
excess energy over the best structure of this formula in the dataset	0	kJ/mol of formula units
density	12.995	g/cm³
calculated volume	21.4	Å³/atom

a = 3.8178 Å, b = 3.8178 Å, c = 5.8680 Å
α = 90.00°, β = 90.00°, γ = 90.00°
With the nearest neighbours (Å) after each atom.
Element x y z (fractional)
1 Pd 0.5000 0.5000 0.5000  2 As 2.93, 8 Pu 3.09
2 As 0.5000 0.5000 0.0000  2 Pd 2.93, 8 Pu 3.05
3 Pu 0.0000 0.0000 0.7568  2 Pu 2.85-3.01, 4 As 3.05, 4 Pd 3.09
4 Pu 0.0000 0.0000 0.2432  2 Pu 2.85-3.01, 4 As 3.05, 4 Pd 3.09

---

## PuAs2Pd (PBE)

Data for crystalline PuAs2Pd at its relaxed geometry.

Values from the calculation:
ΔE_f	-0.58	eV per atom
density	10.949	g/cm³
calculated volume	19.0	Å³/atom

a = 3.7803 Å, b = 4.4799 Å, c = 4.4799 Å
α = 90.00°, β = 90.00°, γ = 90.00°
With the nearest neighbours (Å) after each atom.
Element x y z (fractional)
1 Pd 0.5000 0.5000 0.5000  8 As 2.93, 4 Pu 3.17
2 Pu 0.5000 0.0000 0.0000  8 As 2.93, 4 Pd 3.17
3 As 0.0000 0.0000 0.5000  4 Pd 2.93, 4 Pu 2.93, 4 As 3.17
4 As 0.0000 0.5000 0.0000  4 Pd 2.93, 4 Pu 2.93, 4 As 3.17

---

## PuAs3Pd5 (PBE)

Data for crystalline PuAs3Pd5 at its relaxed geometry.

Values from the calculation:
ΔE_f	-0.47	eV per atom
density	10.037	g/cm³
calculated volume	18.4	Å³/atom

a = 3.9565 Å, b = 6.9823 Å, c = 12.4993 Å
α = 90.00°, β = 90.00°, γ = 106.46°
With the nearest neighbours (Å) after each atom.
Element x y z (fractional)
1 As 0.3872 0.7745 0.9400  5 Pd 2.42-2.62
2 As 0.1305 0.2609 0.7500  6 Pd 2.49-2.54
3 As 0.6128 0.2255 0.0600  5 Pd 2.42-2.62
4 As 0.6128 0.2255 0.4400  5 Pd 2.42-2.62
5 As 0.8695 0.7391 0.2500  6 Pd 2.49-2.54
6 As 0.3872 0.7745 0.5600  5 Pd 2.42-2.62
7 Pu 0.1246 0.2492 0.2500  5 As 3.10-3.42
8 Pu 0.8754 0.7508 0.7500  5 As 3.10-3.42
9 Pd 0.7932 0.5864 0.4314  2 As 2.42-2.49
10 Pd 0.5678 0.1355 0.8587  4 As 2.54-2.62, 3 Pd 2.72-2.80
11 Pd 0.7932 0.5864 0.0686  2 As 2.42-2.49
12 Pd 0.0000 0.0000 0.5000  4 As 2.60, 6 Pd 2.80-2.90
13 Pd 0.4322 0.8645 0.1413  4 As 2.54-2.62, 3 Pd 2.72-2.80
14 Pd 0.2068 0.4136 0.9314  2 As 2.42-2.49
15 Pd 0.4322 0.8645 0.3587  4 As 2.54-2.62, 3 Pd 2.72-2.80
16 Pd 0.5678 0.1355 0.6413  4 As 2.54-2.62, 3 Pd 2.72-2.80
17 Pd 0.2068 0.4136 0.5686  2 As 2.42-2.49
18 Pd 0.0000 0.0000 0.0000  4 As 2.60, 6 Pd 2.80-2.90

---

## PuAsPd (PBE)

Data for crystalline PuAsPd at its relaxed geometry.

Values from the calculation:
ΔE_f	-0.75	eV per atom
density	11.644	g/cm³
calculated volume	20.2	Å³/atom

a = 4.1172 Å, b = 4.1170 Å, c = 7.1567 Å
α = 90.00°, β = 90.00°, γ = 90.00°
With the nearest neighbours (Å) after each atom.
Element x y z (fractional)
1 As 0.0000 0.0000 0.2553  4 Pd 2.75, 5 Pu 2.96-2.97
2 As 0.5000 0.5000 0.7447  4 Pd 2.75, 5 Pu 2.96-2.97
3 Pd 0.0000 0.5000 0.0001  4 As 2.75, 4 Pd 2.91
4 Pd 0.5000 0.0000 0.9999  4 As 2.75, 4 Pd 2.91
5 Pu 0.0000 0.0000 0.6702  5 As 2.96-2.97, 4 Pd 3.13
6 Pu 0.5000 0.5000 0.3298  5 As 2.96-2.97, 4 Pd 3.13

---

## Pu2AsPd (PBE)

Data for crystalline Pu2AsPd at its relaxed geometry.

Values from the calculation:
ΔE_f	-0.64	eV per atom
excess energy over the best structure of this formula in the dataset	5	kJ/mol of formula units
density	12.786	g/cm³
calculated volume	21.7	Å³/atom

a = 5.1538 Å, b = 6.0614 Å, c = 11.2442 Å
α = 98.13°, β = 90.00°, γ = 90.00°
With the nearest neighbours (Å) after each atom.
Element x y z (fractional)
1 Pu 0.2499 0.6781 0.5545  4 Pd 2.95-3.30, 4 As 2.97-3.21
2 Pu 0.7501 0.9936 0.6626  4 As 2.97-3.06, 4 Pd 3.00-3.12
3 Pu 0.2499 0.0064 0.3374  4 As 2.97-3.06, 4 Pd 3.00-3.12
4 Pu 0.2501 0.5064 0.8374  4 As 2.97-3.06, 4 Pd 3.00-3.12
5 Pu 0.7501 0.3219 0.4455  4 Pd 2.95-3.30, 4 As 2.97-3.21
6 Pu 0.2501 0.1781 0.0545  4 Pd 2.95-3.30, 4 As 2.97-3.21
7 Pu 0.7499 0.4936 0.1626  4 As 2.97-3.06, 4 Pd 3.00-3.12
8 Pu 0.7499 0.8219 0.9455  4 Pd 2.95-3.30, 4 As 2.97-3.21
9 As 0.7502 0.2959 0.9052  1 Pd 2.79, 5 Pu 2.97-3.06
10 As 0.7498 0.7959 0.4052  1 Pd 2.79, 5 Pu 2.97-3.06
11 As 0.2498 0.7041 0.0948  1 Pd 2.79, 5 Pu 2.97-3.06
12 As 0.2502 0.2041 0.5948  1 Pd 2.79, 5 Pu 2.97-3.06
13 Pd 0.2500 0.9872 0.7980  1 As 2.79, 6 Pu 2.95-3.12
14 Pd 0.7500 0.0128 0.2020  1 As 2.79, 6 Pu 2.95-3.12
15 Pd 0.7500 0.5128 0.7020  1 As 2.79, 6 Pu 2.95-3.12
16 Pd 0.2500 0.4872 0.2980  1 As 2.79, 6 Pu 2.95-3.12

---

## PuAs4Pd12 (PBE)

Data for crystalline PuAs4Pd12 at its relaxed geometry.

Values from the calculation:
ΔE_f	-0.21	eV per atom
density	9.577	g/cm³
calculated volume	18.6	Å³/atom

a = 7.4297 Å, b = 7.4297 Å, c = 7.4297 Å
α = 109.47°, β = 109.47°, γ = 109.47°
With the nearest neighbours (Å) after each atom.
Element x y z (fractional)
1 As 0.0000 0.5000 0.0000  6 Pd 2.41
2 As 0.5000 0.0000 0.0000  6 Pd 2.41
3 As 0.0000 0.0000 0.5000  6 Pd 2.41
4 As 0.5000 0.5000 0.5000  6 Pd 2.41
5 Pd 0.8207 0.1630 0.6577  2 As 2.41
6 Pd 0.3423 0.5054 0.1630  2 As 2.41
7 Pd 0.5054 0.1630 0.3423  2 As 2.41
8 Pd 0.1630 0.3423 0.5054  2 As 2.41
9 Pd 0.1793 0.8370 0.3423  2 As 2.41
10 Pd 0.6577 0.4946 0.8370  2 As 2.41
11 Pd 0.1630 0.6577 0.8207  2 As 2.41
12 Pd 0.4946 0.8370 0.6577  2 As 2.41
13 Pd 0.8370 0.3423 0.1793  2 As 2.41
14 Pd 0.3423 0.1793 0.8370  2 As 2.41
15 Pd 0.6577 0.8207 0.1630  2 As 2.41
16 Pd 0.8370 0.6577 0.4946  2 As 2.41
17 Pu 0.0000 0.0000 0.0000  12 Pd 3.25